w) An optimized crystal structure of KNaPb2, computed with GGA-PBE.

a b c (Å): 3.9718 3.9718 8.3282
angles (deg): 90.00 90.00 90.00
Space group P4/mmm (No. 123)
Symmetry-distinct sites (fractional):
K  0.0000  0.0000  0.0000 x1
Na  0.0000  0.0000  0.5000 x1
Pb  0.5000  0.5000  0.3033 x2

Values from the calculation:
M_tot (μB/f.u.): 0.00
Density (kg/m3): 6022
Volume (Å³/f.u.): 131

x) An optimized crystal structure of KNaPb2, computed with GGA-PBE.

a b c (Å): 5.1515 5.1515 22.9872
angles (deg): 90.00 90.00 90.00
Space group I-42d (No. 122)
Symmetry-distinct sites (fractional):
K  0.0000  0.0000  0.0000 x4
Na  0.0000  0.0000  0.5000 x4
Pb  0.1733  0.2500  0.6250 x8

Values from the calculation:
M_tot (μB/f.u.): 0.00
Density (kg/m3): 5188
Volume (Å³/f.u.): 153

Stability summary - winner: w); margin: 17.5 kJ/mol of atoms.